Material: KFeW
Method: DFT, GGA-PBE
State: optimized geometry

**Distance to the lowest polymorph of the same formula**: 0.744 eV per atom
**Space-group type**: P3m1
**Formation energy from the elements**: 1.7355 eV/atom

```
KFeW
1.0
5.060 0.000 0.000
-2.530 4.382 0.000
0.000 0.000 2.599
K W Fe
1 1 1
Direct
0.667 0.333 0.332
0.333 0.667 0.644
0.000 0.000 0.024
```